AlTeRu: relaxed, PBE-GGA.

Uncorrected formation energy (kJ per mole of atoms): 22.33
E (eV for the cell shown): -15.466
E above lowest polymorph (meV per atom): 394

a b c (Å): 4.5240 4.5240 3.0908
angles (deg): 90.00 90.00 120.00
Sites, in units of the cell vectors:
Al 0.0000 0.0000 0.0000
Te 0.6667 0.3333 0.4993
Ru 0.3333 0.6667 0.4977

AlTe2Ru: relaxed, PBE-GGA.

Uncorrected formation energy (kJ per mole of atoms): -16.29
E (eV for the cell shown): -19.977

a b c (Å): 3.7511 3.7537 7.1184
angles (deg): 90.00 90.07 90.00
Sites, in units of the cell vectors:
Al 0.0000 0.0000 0.0000
Te 0.0013 0.5000 0.2789
Te 0.4991 0.0000 0.7209
Ru 0.5005 0.5000 0.9998

AlTe2Ru: relaxed, PBE-GGA.

Uncorrected formation energy (kJ per mole of atoms): -0.51
E (eV for the cell shown): -19.323

a b c (Å): 3.1233 3.1233 9.2093
angles (deg): 90.00 90.00 90.00
Sites, in units of the cell vectors:
Al 0.0000 0.0000 0.0000
Te 0.0000 0.0000 0.3423
Te 0.5000 0.5000 0.7190
Ru 0.5000 0.5000 0.1535

AlTeRu2: relaxed, PBE-GGA.

Uncorrected formation energy (kJ per mole of atoms): 6.89
E (eV for the cell shown): -25.150
E above lowest polymorph (meV per atom): 214

a b c (Å): 3.1180 3.1180 8.0736
angles (deg): 90.00 90.00 90.00
Sites, in units of the cell vectors:
Al 0.0000 0.0000 0.0000
Te 0.5000 0.5000 0.5558
Ru 0.0000 0.0000 0.3683
Ru 0.5000 0.5000 0.1381

Which of these has the lowest E?
AlTeRu2